Computed, not measured: a relaxed Sc4Ga16Co3 crystal at the GGA-PBE level of DFT. Values from VASP.

Space-group type: P4/mmm
Total moment: 0.00 μB/f.u.
Calculated formation energy: -467.2 meV/atom
V: 377.1 Å³ per cell

```
&SYSTEM
  ibrav = 0, nat = 23, ntyp = 3
/
ATOMIC_SPECIES
Sc 44.96 Sc.upf
Ga 69.72 Ga.upf
Co 58.93 Co.upf
CELL_PARAMETERS angstrom
-1.811 -1.848 -5.303
2.433 -5.280 1.009
-9.291 -3.446 4.374
ATOMIC_POSITIONS crystal
Sc 0.500 0.000 0.805
Ga 0.279 0.279 0.000
Ga 0.279 0.721 0.000
Ga 0.500 0.500 0.195
Co 0.000 0.500 0.500
Ga 0.721 0.279 0.000
Ga 0.750 0.750 0.380
Ga 0.250 0.750 0.620
Ga 0.250 0.250 0.620
Ga 0.250 0.250 0.380
Ga 0.721 0.721 0.000
Sc 0.000 0.500 0.805
Co 0.000 0.000 0.000
Ga 0.000 0.000 0.217
Sc 0.000 0.500 0.195
Sc 0.500 0.000 0.195
Ga 0.750 0.750 0.620
Ga 0.000 0.000 0.783
Co 0.500 0.000 0.500
Ga 0.500 0.500 0.805
Ga 0.750 0.250 0.380
Ga 0.750 0.250 0.620
Ga 0.250 0.750 0.380
```

Computed, not measured: a relaxed CrIr2SBr crystal at the GGA-PBE level of DFT. Values from VASP.

Space-group type: P4/mmm
Total moment: 0.00 μB/f.u.
E_form (uncorrected): 1.180 eV per atom
V: 93.2 Å³ per cell

```
&SYSTEM
  ibrav = 0, nat = 5, ntyp = 4
/
ATOMIC_SPECIES
S 32.06 S.upf
Ir 192.22 Ir.upf
Br 79.90 Br.upf
Cr 52.00 Cr.upf
CELL_PARAMETERS angstrom
4.683 0.000 0.000
0.000 4.249 0.000
0.000 0.000 4.683
ATOMIC_POSITIONS crystal
S 0.000 0.500 0.000
Ir 0.500 0.000 0.000
Br 0.500 0.500 0.500
Cr 0.000 0.000 0.000
Ir 0.000 0.000 0.500
```